{
  "formula": "Rb3TlPt",
  "functional": "PBE",
  "state": "optimized geometry",
  "lattice": [[6.457, 0.000, 0.000], [0.000, 6.457, 0.000], [0.000, 0.000, 6.457]],
  "species": ["Rb", "Rb", "Rb", "Pt", "Tl"],
  "fractional_positions": [[0.500, 0.000, 0.000], [0.000, 0.000, 0.500], [0.000, 0.500, 0.000], [0.000, 0.000, 0.000], [0.500, 0.500, 0.500]],
  "relative_energy_mev_per_atom": 278,
  "magmom_total_mub_per_atom": 0.38,
  "e_form_ev_per_atom": 0.199,
  "e_tot_ry_per_atom": -0.1516
}